# 1
SrInNi2: optimized geometry, PBE.

Unit cell a=3.415 b=3.420 c=6.753 alpha=90.00 beta=90.11 gamma=90.00
Atoms (fractional coordinates):
Sr 0.000 0.000 0.000
In 0.000 0.000 0.500
Ni 0.500 0.500 0.315
Ni 0.500 0.500 0.685

## Properties
- energy (eV for the cell shown) = -15.804
- magnetization (μB per cell) = 0.00
- crystal system = monoclinic

# 2
Sr2In4Ni: optimized geometry, PBE.

Unit cell a=9.438 b=9.438 c=9.438 alpha=149.62 beta=149.62 gamma=43.50
Atoms (fractional coordinates):
Sr 0.160 0.160 0.000
Sr 0.840 0.840 0.000
In 0.000 0.500 0.500
In 0.353 0.353 0.000
In 0.500 0.000 0.500
In 0.647 0.647 0.000
Ni 0.500 0.500 0.000

## Properties
- energy (eV for the cell shown) = -21.789
- magnetization (μB per cell) = 0.00
- crystal system = tetragonal

# 3
SrInNi2: optimized geometry, PBE.

Unit cell a=4.795 b=4.795 c=3.297 alpha=90.00 beta=90.00 gamma=90.00
Atoms (fractional coordinates):
Sr 0.000 0.000 0.000
In 0.500 0.500 0.000
Ni 0.000 0.500 0.500
Ni 0.500 0.000 0.500

## Properties
- energy (eV for the cell shown) = -15.426
- magnetization (μB per cell) = 0.00
- crystal system = tetragonal

# 4
SrInNi4: optimized geometry, PBE.

Unit cell a=8.386 b=8.386 c=6.148 alpha=90.00 beta=90.00 gamma=152.18
Atoms (fractional coordinates):
Sr 0.098 0.902 0.750
Sr 0.902 0.098 0.250
In 0.237 0.763 0.250
In 0.763 0.237 0.750
Ni 0.078 0.922 0.250
Ni 0.351 0.649 0.565
Ni 0.351 0.649 0.935
Ni 0.500 0.500 0.000
Ni 0.500 0.500 0.500
Ni 0.649 0.351 0.065
Ni 0.649 0.351 0.435
Ni 0.922 0.078 0.750

## Properties
- energy (eV for the cell shown) = -53.669
- magnetization (μB per cell) = 0.03
- crystal system = orthorhombic